The following is a DFT calculation (GGA-PBE) of a relaxed structure of Tb2Sm2Y4Tm.

Output
Energy = -5.45 eV per atom
Space group = C2/m (12)

Cell lengths 3.6031, 9.5264, 9.5797 Å; angles 115.22, 90.00, 100.90 degrees
Element x y z (fractional)
Tb1 0.8520 0.7039 0.3348
Tb2 0.1480 0.2961 0.6652
Y1 0.4810 0.9621 0.6661
Y2 0.8148 0.6296 0.6661
Sm1 0.6655 0.3309 0.9985
Tm1 0.0000 0.0000 0.0000
Sm2 0.3345 0.6691 0.0015
Y3 0.1852 0.3704 0.3339
Y4 0.5190 0.0379 0.3339

The following is a DFT calculation (GGA-PBE) of a relaxed structure of Sm6Te3CS2.

Output
Energy = -6.06 eV per atom
Space group = C2/m (12)
E_form (uncorrected) = -1.46 eV/atom

Cell lengths 7.1009, 7.1009, 7.5031 Å; angles 99.05, 99.05, 119.94 degrees
Element x y z (fractional)
C1 0.0000 0.0000 0.0000
Sm1 0.2395 0.2395 0.7951
Sm2 0.0664 0.3748 0.1996
Sm3 0.7605 0.7605 0.2049
Te1 0.8266 0.1734 0.5000
Te2 0.5000 0.5000 0.5000
S1 0.3343 0.6657 0.0000
Sm4 0.9336 0.6252 0.8004
Sm5 0.6252 0.9336 0.8004
S2 0.6657 0.3343 0.0000
Sm6 0.3748 0.0664 0.1996
Te3 0.1734 0.8266 0.5000

The following is a DFT calculation (GGA-PBE) of a relaxed structure of LiYNpO6.

Output
Energy = -8.18 eV per atom
Space group = P-31c (163)
E_form (uncorrected) = -2.51 eV/atom

Cell lengths 5.3031, 5.3031, 9.9314 Å; angles 90.00, 90.00, 120.00 degrees
Element x y z (fractional)
Np1 0.6667 0.3333 0.2500
O1 0.0194 0.6604 0.8635
Np2 0.3333 0.6667 0.7500
O2 0.3590 0.0194 0.1365
O3 0.9806 0.6410 0.3635
O4 0.0194 0.3590 0.6365
O5 0.6410 0.6604 0.6365
O6 0.3396 0.9806 0.6365
O7 0.3396 0.3590 0.8635
O8 0.6604 0.0194 0.3635
Y1 0.0000 0.0000 0.5000
O9 0.6410 0.9806 0.8635
O10 0.3590 0.3396 0.3635
Li1 0.3333 0.6667 0.2500
O11 0.6604 0.6410 0.1365
O12 0.9806 0.3396 0.1365
Li2 0.6667 0.3333 0.7500
Y2 0.0000 0.0000 0.0000

Density readings, ordered: 6.53 7.26 5.89 g/cm3